[1]
Density functional theory data (SCAN) for Sc5Sb at its PBEsol-relaxed geometry.

Lattice parameters (Å, degrees): 5.5565 5.5565 5.0182 90.00 90.00 120.00
Space group P-62m (No. 189)
Symmetry-distinct sites (fractional):
Sc: 0.0000 0.6826 0.0000
Sc: 0.3333 0.6667 0.5000
Sb: 0.0000 0.0000 0.5000

Computed properties:
ρ ... 4.3 g/cm3
Formation energy (no corrections) ... -0.32 eV/atom
Electronic total energy ... -110.39 eV for the cell shown

[2]
Density functional theory data (SCAN) for Sc5Sb3 at its PBEsol-relaxed geometry.

Lattice parameters (Å, degrees): 8.3562 8.3562 5.8362 90.00 90.00 120.00
Space group P6_3/mcm (No. 193)
Symmetry-distinct sites (fractional):
Sc: 0.0000 0.2459 0.2500
Sc: 0.3333 0.6667 0.0000
Sb: 0.0000 0.3884 0.7500

Computed properties:
ρ ... 5.6 g/cm3
Formation energy (no corrections) ... -0.94 eV/atom
Electronic total energy ... -380.99 eV for the cell shown

[3]
Density functional theory data (SCAN) for ScSb at its PBEsol-relaxed geometry.

Lattice parameters (Å, degrees): 5.8025 5.8025 5.8025 90.00 90.00 90.00
Space group Fm-3m (No. 225)
Symmetry-distinct sites (fractional):
Sc: 0.0000 0.0000 0.0000
Sb: 0.0000 0.0000 0.5000

Computed properties:
ρ ... 5.7 g/cm3
Formation energy (no corrections) ... -1.02 eV/atom
Electronic total energy ... -214.19 eV for the cell shown

[4]
Density functional theory data (SCAN) for Sc8Sb at its PBEsol-relaxed geometry.

Lattice parameters (Å, degrees): 9.7151 9.7151 4.3422 90.00 90.00 90.00
Space group I4/mmm (No. 139)
Symmetry-distinct sites (fractional):
Sc: 0.0000 0.3349 0.0000
Sc: 0.1632 0.1632 0.5000
Sb: 0.0000 0.0000 0.0000

Computed properties:
ρ ... 3.9 g/cm3
Formation energy (no corrections) ... -0.19 eV/atom
Electronic total energy ... -305.66 eV for the cell shown

[5]
Density functional theory data (SCAN) for Sc5Sb3 at its PBEsol-relaxed geometry.

Lattice parameters (Å, degrees): 11.0456 11.0456 5.7719 90.00 90.00 90.00
Space group I4/mcm (No. 140)
Symmetry-distinct sites (fractional):
Sc: 0.0000 0.5000 0.2500
Sc: 0.0785 0.2221 0.0000
Sb: 0.0000 0.0000 0.2500
Sb: 0.1632 0.3368 0.5000

Computed properties:
ρ ... 5.6 g/cm3
Formation energy (no corrections) ... -0.84 eV/atom
Electronic total energy ... -758.79 eV for the cell shown

[6]
Density functional theory data (SCAN) for ScSb at its PBEsol-relaxed geometry.

Lattice parameters (Å, degrees): 4.1835 4.1835 10.1605 90.00 90.00 90.00
Space group I4_1/amd (No. 141, origin choice 2)
Symmetry-distinct sites (fractional):
Sc: 0.0000 0.2500 0.3750
Sb: 0.0000 0.2500 0.8750

Computed properties:
ρ ... 6.2 g/cm3
Formation energy (no corrections) ... -0.78 eV/atom
Electronic total energy ... -212.20 eV for the cell shown

[7]
Density functional theory data (SCAN) for Sc5Sb at its PBEsol-relaxed geometry.

Lattice parameters (Å, degrees): 4.4206 13.6394 4.4380 90.00 90.00 90.00
Space group Cmmm (No. 65)
Symmetry-distinct sites (fractional):
Sc: 0.0000 0.0000 0.0000
Sc: 0.0000 0.1616 0.5000
Sc: 0.0000 0.3292 0.0000
Sb: 0.0000 0.5000 0.5000

Computed properties:
ρ ... 4.3 g/cm3
Formation energy (no corrections) ... -0.34 eV/atom
Electronic total energy ... -220.92 eV for the cell shown

[8]
Density functional theory data (SCAN) for Sc5Sb3 at its PBEsol-relaxed geometry.

Lattice parameters (Å, degrees): 10.9799 8.6686 7.5516 90.00 90.00 90.00
Space group Pnma (No. 62)
Symmetry-distinct sites (fractional):
Sc: 0.0052 0.2500 0.0244
Sc: 0.0647 0.0597 0.6952
Sc: 0.2135 0.7500 0.3423
Sc: 0.2305 0.2500 0.3235
Sb: 0.0243 0.7500 0.5939
Sb: 0.1746 0.5098 0.0644

Computed properties:
ρ ... 5.5 g/cm3
Formation energy (no corrections) ... -0.93 eV/atom
Electronic total energy ... -761.60 eV for the cell shown

[9]
Density functional theory data (SCAN) for ScSb at its PBEsol-relaxed geometry.

Lattice parameters (Å, degrees): 6.5164 6.5164 6.5164 90.00 90.00 90.00
Space group F-43m (No. 216)
Symmetry-distinct sites (fractional):
Sc: 0.0000 0.0000 0.0000
Sb: 0.2500 0.2500 0.2500

Computed properties:
ρ ... 4.0 g/cm3
Formation energy (no corrections) ... -0.52 eV/atom
Electronic total energy ... -210.16 eV for the cell shown

[10]
Density functional theory data (SCAN) for Sc5Sb at its PBEsol-relaxed geometry.

Lattice parameters (Å, degrees): 11.4527 3.3155 7.4233 90.00 104.68 90.00
Space group Cm (No. 8)
Symmetry-distinct sites (fractional):
Sc: 0.0000 0.0000 0.0000
Sc: 0.0349 0.0000 0.6061
Sc: 0.1657 0.5000 0.3380
Sc: 0.2172 0.5000 0.9322
Sc: 0.3899 0.0000 0.2717
Sb: 0.3232 0.0000 0.6609

Computed properties:
ρ ... 4.2 g/cm3
Formation energy (no corrections) ... -0.30 eV/atom
Electronic total energy ... -220.45 eV for the cell shown

[11]
Density functional theory data (SCAN) for ScSb2Se at its PBEsol-relaxed geometry.

Lattice parameters (Å, degrees): 3.6009 4.0231 13.6716 90.00 90.00 90.00
Space group Immm (No. 71)
Symmetry-distinct sites (fractional):
Sc: 0.0000 0.0000 0.0000
Sb: 0.0000 0.5000 0.2986
Se: 0.0000 0.0000 0.5000

Computed properties:
ρ ... 6.2 g/cm3
Formation energy (no corrections) ... -0.64 eV/atom
Electronic total energy ... -222.81 eV for the cell shown

[12]
Density functional theory data (SCAN) for Sc2Sb2Se at its PBEsol-relaxed geometry.

Lattice parameters (Å, degrees): 4.0787 4.0787 14.5014 90.00 90.00 90.00
Space group I4/mmm (No. 139)
Symmetry-distinct sites (fractional):
Sc: 0.0000 0.0000 0.1020
Sb: 0.0000 0.5000 0.2500
Se: 0.0000 0.0000 0.5000

Computed properties:
ρ ... 5.7 g/cm3
Formation energy (no corrections) ... -0.71 eV/atom
Electronic total energy ... -253.28 eV for the cell shown

[13]
Density functional theory data (SCAN) for ScSb2Se at its PBEsol-relaxed geometry.

Lattice parameters (Å, degrees): 4.0132 3.9877 5.8367 90.00 96.56 90.00
Space group P2/m (No. 10)
Symmetry-distinct sites (fractional):
Sc: 0.0000 0.0000 0.0000
Sb: 0.4486 0.5000 0.7547
Se: 0.0000 0.0000 0.5000

Computed properties:
ρ ... 6.6 g/cm3
Formation energy (no corrections) ... -0.41 eV/atom
Electronic total energy ... -110.49 eV for the cell shown

[14]
Density functional theory data (SCAN) for ScSb2Se at its PBEsol-relaxed geometry.

Lattice parameters (Å, degrees): 4.0951 4.0951 23.3766 90.00 90.00 90.00
Space group I-42d (No. 122)
Symmetry-distinct sites (fractional):
Sc: 0.0000 0.0000 0.0000
Sb: 0.2415 0.2500 0.1250
Se: 0.0000 0.0000 0.5000

Computed properties:
ρ ... 6.2 g/cm3
Formation energy (no corrections) ... -0.51 eV/atom
Electronic total energy ... -443.50 eV for the cell shown

[15]
Density functional theory data (SCAN) for SrSc2SbSe at its PBEsol-relaxed geometry.

Lattice parameters (Å, degrees): 5.5182 5.5182 5.1765 90.00 90.00 90.00
Space group P4/mmm (No. 123)
Symmetry-distinct sites (fractional):
Sr: 0.0000 0.0000 0.0000
Sc: 0.0000 0.5000 0.0000
Sb: 0.5000 0.5000 0.5000
Se: 0.0000 0.0000 0.5000

Computed properties:
ρ ... 4.0 g/cm3
Formation energy (no corrections) ... 0.88 eV/atom
Electronic total energy ... -103.68 eV for the cell shown

[16]
Density functional theory data (SCAN) for Sc2SiSb at its PBEsol-relaxed geometry.

Lattice parameters (Å, degrees): 6.8693 6.8693 6.8693 90.00 90.00 90.00
Space group F-43m (No. 216)
Symmetry-distinct sites (fractional):
Sc: 0.0000 0.0000 0.0000
Sc: 0.2500 0.2500 0.2500
Si: 0.0000 0.0000 0.5000
Sb: 0.2500 0.2500 0.7500

Computed properties:
ρ ... 4.9 g/cm3
Formation energy (no corrections) ... -0.03 eV/atom
Electronic total energy ... -303.46 eV for the cell shown

[17]
Density functional theory data (SCAN) for Sc4SiSb at its PBEsol-relaxed geometry.

Lattice parameters (Å, degrees): 7.9593 7.9593 7.9593 90.00 90.00 90.00
Space group F-43m (No. 216)
Symmetry-distinct sites (fractional):
Sc: 0.1246 0.1246 0.1246
Si: 0.2500 0.2500 0.7500
Sb: 0.0000 0.0000 0.5000

Computed properties:
ρ ... 4.3 g/cm3
Formation energy (no corrections) ... 0.12 eV/atom
Electronic total energy ... -413.95 eV for the cell shown

[18]
Density functional theory data (SCAN) for ScSi2Sb at its PBEsol-relaxed geometry.

Lattice parameters (Å, degrees): 3.6849 3.7395 5.7572 90.00 102.87 90.00
Space group P2/m (No. 10)
Symmetry-distinct sites (fractional):
Sc: 0.0000 0.0000 0.0000
Si: 0.4648 0.5000 0.7923
Sb: 0.0000 0.0000 0.5000

Computed properties:
ρ ... 4.8 g/cm3
Formation energy (no corrections) ... -0.06 eV/atom
Electronic total energy ... -71.76 eV for the cell shown

[19]
Density functional theory data (SCAN) for ScSi2Sb at its PBEsol-relaxed geometry.

Lattice parameters (Å, degrees): 3.6581 4.4398 4.5884 90.00 90.00 90.00
Space group Pmmm (No. 47)
Symmetry-distinct sites (fractional):
Sc: 0.0000 0.0000 0.0000
Si: 0.5000 0.0000 0.5000
Si: 0.5000 0.5000 0.0000
Sb: 0.0000 0.5000 0.5000

Computed properties:
ρ ... 5.0 g/cm3
Formation energy (no corrections) ... -0.03 eV/atom
Electronic total energy ... -71.66 eV for the cell shown

[20]
Density functional theory data (SCAN) for ScSiSb4 at its PBEsol-relaxed geometry.

Lattice parameters (Å, degrees): 8.5306 8.5306 8.5306 90.00 90.00 90.00
Space group F-43m (No. 216)
Symmetry-distinct sites (fractional):
Sc: 0.0000 0.0000 0.0000
Si: 0.2500 0.2500 0.7500
Sb: 0.1250 0.1250 0.3750

Computed properties:
ρ ... 6.0 g/cm3
Formation energy (no corrections) ... 0.47 eV/atom
Electronic total energy ... -682.01 eV for the cell shown

[21]
Density functional theory data (SCAN) for ScSiSb2 at its PBEsol-relaxed geometry.

Lattice parameters (Å, degrees): 4.8640 4.8640 3.6355 90.00 90.00 90.00
Space group P4/mmm (No. 123)
Symmetry-distinct sites (fractional):
Sc: 0.0000 0.0000 0.0000
Si: 0.5000 0.5000 0.0000
Sb: 0.0000 0.5000 0.5000

Computed properties:
ρ ... 6.1 g/cm3
Formation energy (no corrections) ... -0.06 eV/atom
Electronic total energy ... -99.02 eV for the cell shown

[22]
Density functional theory data (SCAN) for ScSi2Sb at its PBEsol-relaxed geometry.

Lattice parameters (Å, degrees): 3.1111 3.1111 7.8317 90.00 90.00 90.00
Space group P4/mmm (No. 123)
Symmetry-distinct sites (fractional):
Sc: 0.0000 0.0000 0.0000
Si: 0.5000 0.5000 0.2285
Sb: 0.0000 0.0000 0.5000

Computed properties:
ρ ... 4.9 g/cm3
Formation energy (no corrections) ... 0.19 eV/atom
Electronic total energy ... -70.78 eV for the cell shown

[23]
Density functional theory data (SCAN) for YSc2SiSb at its PBEsol-relaxed geometry.

Lattice parameters (Å, degrees): 4.9381 4.9381 5.3675 90.00 90.00 90.00
Space group P4/mmm (No. 123)
Symmetry-distinct sites (fractional):
Y: 0.0000 0.0000 0.0000
Sc: 0.0000 0.5000 0.5000
Si: 0.5000 0.5000 0.5000
Sb: 0.5000 0.5000 0.0000

Computed properties:
ρ ... 4.2 g/cm3
Formation energy (no corrections) ... -0.04 eV/atom
Electronic total energy ... -103.79 eV for the cell shown

[24]
Density functional theory data (SCAN) for ScSnSb2Te at its PBEsol-relaxed geometry.

Lattice parameters (Å, degrees): 5.4056 5.4056 5.4022 90.00 90.00 90.00
Space group P4/mmm (No. 123)
Symmetry-distinct sites (fractional):
Sc: 0.0000 0.0000 0.0000
Sn: 0.5000 0.5000 0.5000
Sb: 0.0000 0.5000 0.0000
Te: 0.0000 0.0000 0.5000

Computed properties:
ρ ... 5.6 g/cm3
Formation energy (no corrections) ... 0.15 eV/atom
Electronic total energy ... -161.19 eV for the cell shown

[25]
Density functional theory data (SCAN) for ScSnSb2Te at its PBEsol-relaxed geometry.

Lattice parameters (Å, degrees): 5.4507 5.4507 5.5862 90.00 90.00 90.00
Space group P4/mmm (No. 123)
Symmetry-distinct sites (fractional):
Sc: 0.0000 0.0000 0.0000
Sn: 0.5000 0.5000 0.5000
Sb: 0.0000 0.5000 0.5000
Te: 0.5000 0.5000 0.0000

Computed properties:
ρ ... 5.4 g/cm3
Formation energy (no corrections) ... 0.61 eV/atom
Electronic total energy ... -158.89 eV for the cell shown

[26]
Density functional theory data (SCAN) for SrSc2Sb at its PBEsol-relaxed geometry.

Lattice parameters (Å, degrees): 6.6322 9.4515 3.3846 90.00 90.00 90.00
Space group Cmmm (No. 65)
Symmetry-distinct sites (fractional):
Sr: 0.0000 0.0000 0.0000
Sc: 0.2500 0.2500 0.5000
Sb: 0.0000 0.5000 0.0000

Computed properties:
ρ ... 4.7 g/cm3
Formation energy (no corrections) ... 0.04 eV/atom
Electronic total energy ... -175.72 eV for the cell shown